## Na4Tb3SnSe8 (PBE)

Data for a geometry-optimized Na4Tb3SnSe8 structure.

Computed properties:
N(E_F)	1.55	states/eV/cell
symmetry	No. 166

a = 8.4992 Å, b = 8.4992 Å, c = 8.4992 Å
α = 58.65°, β = 58.65°, γ = 58.65°
With the nearest neighbours (Å) after each atom.
Positions (direct):
Na  0.0000  0.0000  0.0000  6 Se 3.07
Na  0.0000  0.5000  0.5000  6 Se 3.06
Na  0.5000  0.0000  0.5000  6 Se 3.06
Na  0.5000  0.5000  0.0000  6 Se 3.06
Tb  0.0000  0.0000  0.5000  6 Se 2.89-2.90
Tb  0.0000  0.5000  0.0000  6 Se 2.89-2.90
Tb  0.5000  0.0000  0.0000  6 Se 2.89-2.90
Sn  0.5000  0.5000  0.5000  6 Se 2.88
Se  0.2435  0.2435  0.2435  3 Tb 2.90, 3 Na 3.06
Se  0.2443  0.7423  0.7423  1 Sn 2.88, 2 Tb 2.89, 3 Na 3.06-3.07
Se  0.2577  0.2577  0.7557  1 Sn 2.88, 2 Tb 2.89, 3 Na 3.06-3.07
Se  0.2577  0.7557  0.2577  1 Sn 2.88, 2 Tb 2.89, 3 Na 3.06-3.07
Se  0.7423  0.2443  0.7423  1 Sn 2.88, 2 Tb 2.89, 3 Na 3.06-3.07
Se  0.7423  0.7423  0.2443  1 Sn 2.88, 2 Tb 2.89, 3 Na 3.06-3.07
Se  0.7557  0.2577  0.2577  1 Sn 2.88, 2 Tb 2.89, 3 Na 3.06-3.07
Se  0.7565  0.7565  0.7565  3 Tb 2.90, 3 Na 3.06

---

## InRe2Br (PBE)

Data for a geometry-optimized InRe2Br structure.

Computed properties:
N(E_F)	5.17	states/eV/cell
relative energy among the computed polymorphs	0.7479	eV/atom
symmetry	No. 166

a = 9.1027 Å, b = 9.1027 Å, c = 9.1027 Å
α = 18.89°, β = 18.89°, γ = 18.89°
With the nearest neighbours (Å) after each atom.
Positions (direct):
In  0.0000  0.0000  0.0000  6 Re 2.88, 6 In 2.99
Re  0.2473  0.2473  0.2473  3 Br 2.77, 3 In 2.88, 6 Re 2.99
Re  0.7527  0.7527  0.7527  3 Br 2.77, 3 In 2.88, 6 Re 2.99
Br  0.5000  0.5000  0.5000  6 Re 2.77, 6 Br 2.99

---

## SiHgBr2 (PBE)

Data for a geometry-optimized SiHgBr2 structure.

Computed properties:
N(E_F)	0.33	states/eV/cell
relative energy among the computed polymorphs	0.6332	eV/atom
symmetry	No. 216

a = 5.2176 Å, b = 5.2176 Å, c = 5.2176 Å
α = 60.00°, β = 60.00°, γ = 60.00°
With the nearest neighbours (Å) after each atom.
Positions (direct):
Si  0.0000  0.0000  0.0000  4 Hg 3.20, 4 Br 3.20
Hg  0.7500  0.7500  0.7500  4 Br 3.20, 4 Si 3.20
Br  0.2500  0.2500  0.2500  4 Br 3.20, 4 Si 3.20
Br  0.5000  0.5000  0.5000  4 Hg 3.20, 4 Br 3.20

---

## WCl (PBE)

Data for a geometry-optimized WCl structure.

Computed properties:
N(E_F)	3.11	states/eV/cell
relative energy among the computed polymorphs	1.8800	eV/atom
symmetry	No. 216

a = 3.7846 Å, b = 3.7846 Å, c = 3.7846 Å
α = 60.00°, β = 60.00°, γ = 60.00°
With the nearest neighbours (Å) after each atom.
Positions (direct):
W  0.0000  0.0000  0.0000  4 Cl 2.32
Cl  0.2500  0.2500  0.2500  4 W 2.32

---

Summary of energy relative to the elements, uncorrected in eV per atom
-1.45 1.03 0.40 1.64
(order as listed above)